This record from Alexandria via LeMat-Bulk describes crystalline Y2Al8Cu at its relaxed geometry. The functional is GGA-PBE.

Properties
The total energy comes out at -50.63 eV per formula unit.

a b c (Å): 4.290 4.290 11.113
angles (deg): 90.00 90.00 90.00
Element x y z (fractional)
Y 0.000 0.000 0.311
Y 0.000 0.000 0.689
Al 0.000 0.500 0.500
Al 0.500 0.000 0.500
Al 0.500 0.500 0.302
Al 0.500 0.500 0.698
Al 0.000 0.500 0.122
Al 0.500 0.000 0.122
Al 0.000 0.500 0.878
Al 0.500 0.000 0.878
Cu 0.000 0.000 0.000

---

This record from Alexandria via LeMat-Bulk describes crystalline SrThS3 at its relaxed geometry. The functional is GGA-PBE.

Properties
The calculation puts the relative energy among the computed polymorphs at 0.1193 eV/atom. The uncorrected formation energy comes out at -9.707 eV per formula unit.

a b c (Å): 4.974 8.035 8.317
angles (deg): 95.86 90.00 108.03
Element x y z (fractional)
Sr 0.357 0.714 0.627
Sr 0.643 0.286 0.373
Th 0.127 0.254 0.910
Th 0.873 0.746 0.090
S 0.952 0.903 0.797
S 0.048 0.097 0.203
S 0.679 0.357 0.018
S 0.321 0.643 0.982
S 0.835 0.669 0.401
S 0.165 0.331 0.599

---

This record from Alexandria via LeMat-Bulk describes crystalline TaAl2W at its relaxed geometry. The functional is GGA-PBE.

Properties
The calculation puts the relative energy among the computed polymorphs at 0.0746 eV/atom.

a b c (Å): 5.001 5.001 5.001
angles (deg): 133.58 133.58 67.74
Element x y z (fractional)
Al 0.000 0.000 0.000
Al 0.500 0.500 0.000
W 0.750 0.250 0.500
Ta 0.250 0.750 0.500